# MnCuHg2, optimized geometry, DFT PBE
# **Space-group type**: No. 225
# **Excess energy over the best structure of this formula in the dataset**: 18.8 meV/atom
# **N(E_F)**: 0.444 states/eV/atom
# **Calculated formation energy**: 0.26 eV per atom
# **M_tot**: 3.81 Bohr magnetons per cell
data_MnCuHg2
_cell_length_a 4.630
_cell_length_b 4.630
_cell_length_c 4.630
_cell_angle_alpha 60.00
_cell_angle_beta 60.00
_cell_angle_gamma 60.00
_symmetry_space_group_name_H-M 'P 1'
_symmetry_Int_Tables_number 1
_symmetry_space_group_name_Hall 'P 1'
loop_
_atom_site_label
_atom_site_type_symbol
_atom_site_fract_x
_atom_site_fract_y
_atom_site_fract_z
Mn1 Mn 0.000 0.000 0.000
Hg1 Hg 0.250 0.250 0.250
Hg2 Hg 0.750 0.750 0.750
Cu1 Cu 0.500 0.500 0.500